No. 1
Here is an optimized crystal structure of Li2Zn2Ga2Pd from the Alexandria database. Energies are from GGA-PBE.

Calculated values
Space group = C2/m
Total magnetization = 0.0 μB/f.u.
Electronic total energy = -2.9006 eV per atom

Lattice parameters (Å, degrees): 4.3581 4.3581 6.7373 107.81 107.81 59.38
Element x y z (fractional)
Li  0.0765  0.0765  0.2256
Li  0.9235  0.9235  0.7744
Zn  0.2112  0.2112  0.6360
Zn  0.7888  0.7888  0.3640
Ga  0.3622  0.3622  0.0838
Ga  0.6378  0.6378  0.9162
Pd  0.5000  0.5000  0.5000


No. 2
Here is an optimized crystal structure of BaS from the Alexandria database. Energies are from GGA-PBE.

Calculated values
Space group = Fddd
Excess energy over the best structure of this formula in the dataset = 301 meV/atom
Total magnetization = 0.0 μB/f.u.
E_form (uncorrected) = -1.7803 eV per atom

Lattice parameters (Å, degrees): 9.4819 8.4513 8.4314 68.34 55.93 55.73
Element x y z (fractional)
Ba  0.0374  0.0374  0.7126
Ba  0.2874  0.2874  0.9626
Ba  0.7126  0.7126  0.0374
Ba  0.9626  0.9626  0.2874
S  0.0362  0.7138  0.0362
S  0.2862  0.9638  0.2862
S  0.7138  0.0362  0.7138
S  0.9638  0.2862  0.9638


No. 3
Here is an optimized crystal structure of Nb4GeH from the Alexandria database. Energies are from GGA-PBE.

Calculated values
Space group = C2/c
Total magnetization = 0.0 μB/f.u.
Electronic total energy = -8.0788 eV per atom

Lattice parameters (Å, degrees): 7.1400 7.1400 5.1750 105.37 105.37 120.57
Element x y z (fractional)
Nb  0.0981  0.6535  0.8765
Nb  0.1442  0.2616  0.6583
Nb  0.2616  0.1442  0.1583
Nb  0.3465  0.9019  0.6235
Nb  0.6535  0.0981  0.3765
Nb  0.7384  0.8558  0.8417
Nb  0.8558  0.7384  0.3417
Nb  0.9019  0.3465  0.1235
Ge  0.3968  0.6032  0.2500
Ge  0.6032  0.3968  0.7500
H  0.1065  0.8935  0.7500
H  0.8935  0.1065  0.2500


No. 4
Here is an optimized crystal structure of NdSm2AgSe5 from the Alexandria database. Energies are from GGA-PBE.

Calculated values
Space group = Cmc2_1
Total magnetization = 0.0 μB/f.u.
E_form (uncorrected) = -1.5074 eV per atom

Lattice parameters (Å, degrees): 9.0291 9.0291 12.5898 90.00 90.00 153.35
Element x y z (fractional)
Nd  0.1958  0.8042  0.5000
Nd  0.8042  0.1958  0.0000
Sm  0.1101  0.8899  0.1780
Sm  0.1233  0.8767  0.7972
Sm  0.8767  0.1233  0.2972
Sm  0.8899  0.1101  0.6780
Ag  0.4461  0.5539  0.9551
Ag  0.5539  0.4461  0.4551
Se  0.0429  0.9571  0.5756
Se  0.2878  0.7122  0.1666
Se  0.3097  0.6903  0.8311
Se  0.3633  0.6367  0.4937
Se  0.4978  0.5022  0.2668
Se  0.5022  0.4978  0.7668
Se  0.6367  0.3633  0.9937
Se  0.6903  0.3097  0.3311
Se  0.7122  0.2878  0.6666
Se  0.9571  0.0429  0.0756


No. 5
Here is an optimized crystal structure of La2ThGe3Pd4 from the Alexandria database. Energies are from GGA-PBE.

Calculated values
Space group = P-4m2
Total magnetization = 0.0 μB/f.u.
Electronic total energy = -6.0205 eV per atom

Lattice parameters (Å, degrees): 4.4152 4.4152 11.2443 90.00 90.00 90.00
Element x y z (fractional)
La  0.0000  0.5000  0.2182
La  0.5000  0.0000  0.7818
Th  0.0000  0.0000  0.5000
Ge  0.0000  0.5000  0.8824
Ge  0.5000  0.0000  0.1176
Ge  0.5000  0.5000  0.5000
Pd  0.0000  0.0000  0.0000
Pd  0.0000  0.5000  0.6605
Pd  0.5000  0.0000  0.3395
Pd  0.5000  0.5000  0.0000


No. 6
Here is an optimized crystal structure of ZrZn2Mo from the Alexandria database. Energies are from GGA-PBE.

Calculated values
Space group = P4mm
Excess energy over the best structure of this formula in the dataset = 191 meV/atom
Total magnetization = 0.0 μB/f.u.

Lattice parameters (Å, degrees): 3.4603 3.4603 5.7923 90.00 90.00 90.00
Element x y z (fractional)
Zr  0.0000  0.0000  0.0000
Zn  0.0000  0.0000  0.4816
Zn  0.5000  0.5000  0.7175
Mo  0.5000  0.5000  0.2389


No. 7
Here is an optimized crystal structure of ScSnN2F from the Alexandria database. Energies are from GGA-PBE.

Calculated values
Space group = P4/mmm
Excess energy over the best structure of this formula in the dataset = 205 meV/atom
Total magnetization = 0.0 μB/f.u.
E_form (uncorrected) = -0.3597 eV per atom

Lattice parameters (Å, degrees): 4.1381 4.1381 3.9993 90.00 90.00 90.00
Element x y z (fractional)
Sc  0.0000  0.0000  0.0000
Sn  0.5000  0.5000  0.5000
N  0.0000  0.5000  0.5000
N  0.5000  0.0000  0.5000
F  0.5000  0.5000  0.0000


No. 8
Here is an optimized crystal structure of Rb2NbTlCl6 from the Alexandria database. Energies are from GGA-PBE.

Calculated values
Space group = Fm-3m
Excess energy over the best structure of this formula in the dataset = 17 meV/atom
Total magnetization = 2.0 μB/f.u.
E_form (uncorrected) = -1.4254 eV per atom

Lattice parameters (Å, degrees): 7.8493 7.8493 7.8493 60.00 60.00 60.00
Element x y z (fractional)
Rb  0.2500  0.2500  0.2500
Rb  0.7500  0.7500  0.7500
Nb  0.0000  0.0000  0.0000
Tl  0.5000  0.5000  0.5000
Cl  0.2252  0.2252  0.7748
Cl  0.2252  0.7748  0.2252
Cl  0.2252  0.7748  0.7748
Cl  0.7748  0.2252  0.2252
Cl  0.7748  0.2252  0.7748
Cl  0.7748  0.7748  0.2252